1.
{"formula": "Ce2Sn8Ir", "functional": "PBE", "state": "optimized geometry", "cell": [[4.733, 0.000, 0.000], [0.000, 4.733, 0.000], [0.000, 0.000, 12.312]], "species": ["Ce", "Ce", "Sn", "Sn", "Sn", "Sn", "Sn", "Sn", "Sn", "Sn", "Ir"], "fractional_positions": [[0.000, 0.000, 0.186], [0.000, 0.000, 0.814], [0.000, 0.500, 0.000], [0.000, 0.500, 0.376], [0.000, 0.500, 0.624], [0.500, 0.000, 0.000], [0.500, 0.000, 0.376], [0.500, 0.000, 0.624], [0.500, 0.500, 0.191], [0.500, 0.500, 0.809], [0.000, 0.000, 0.500]], "formation_energy_kcal_per_mol_atoms": -9.90, "dos_at_fermi_per_ev_cell": 8.8, "space_group": "P4/mmm"}

---

2.
{"formula": "SrLa3As", "functional": "PBE", "state": "optimized geometry", "cell": [[5.911, 0.000, 0.000], [0.000, 5.911, 0.000], [0.000, 0.000, 5.911]], "species": ["Sr", "La", "La", "La", "As"], "fractional_positions": [[0.000, 0.000, 0.000], [0.000, 0.500, 0.500], [0.500, 0.000, 0.500], [0.500, 0.500, 0.000], [0.500, 0.500, 0.500]], "formation_energy_kcal_per_mol_atoms": -9.73, "dos_at_fermi_per_ev_cell": 9.4, "de_polymorph_ev_per_atom": 0.000, "space_group": "Pm-3m"}

---

3.
{"formula": "BaMnV2Mo", "functional": "PBE", "state": "optimized geometry", "cell": [[4.743, 0.000, 0.000], [0.000, 4.743, 0.000], [0.000, 0.000, 4.980]], "species": ["Ba", "Mn", "V", "V", "Mo"], "fractional_positions": [[0.000, 0.000, 0.000], [0.500, 0.500, 0.500], [0.000, 0.500, 0.000], [0.500, 0.000, 0.000], [0.000, 0.000, 0.500]], "formation_energy_kcal_per_mol_atoms": 71.35, "dos_at_fermi_per_ev_cell": 7.9, "de_polymorph_ev_per_atom": 0.266, "space_group": "P4/mmm"}

---

4.
{"formula": "LiZnP2", "functional": "PBE", "state": "optimized geometry", "cell": [[3.535, -2.089, 0.000], [3.535, 2.089, 0.000], [-0.493, 0.000, 19.237]], "species": ["Li", "Li", "Li", "Li", "Zn", "Zn", "Zn", "Zn", "P", "P", "P", "P", "P", "P", "P", "P"], "fractional_positions": [[0.078, 0.078, 0.384], [0.218, 0.218, 0.167], [0.782, 0.782, 0.833], [0.922, 0.922, 0.616], [0.435, 0.435, 0.735], [0.456, 0.456, 0.934], [0.544, 0.544, 0.066], [0.565, 0.565, 0.265], [0.113, 0.113, 0.779], [0.119, 0.119, 0.902], [0.398, 0.398, 0.541], [0.410, 0.410, 0.371], [0.590, 0.590, 0.629], [0.602, 0.602, 0.459], [0.881, 0.881, 0.098], [0.887, 0.887, 0.221]], "formation_energy_kcal_per_mol_atoms": -4.75, "dos_at_fermi_per_ev_cell": 4.8, "space_group": "C2/m"}

---

5.
{"formula": "HgPb2I2", "functional": "PBE", "state": "optimized geometry", "cell": [[-2.304, 2.304, 9.860], [2.304, -2.304, 9.860], [2.304, 2.304, -9.860]], "species": ["Hg", "Pb", "Pb", "I", "I"], "fractional_positions": [[0.000, 0.000, 0.000], [0.250, 0.750, 0.500], [0.750, 0.250, 0.500], [0.382, 0.382, 0.000], [0.618, 0.618, 0.000]], "dos_at_fermi_per_ev_cell": 3.5, "de_polymorph_ev_per_atom": 0.101, "e_form_raw_ev_per_fu": -0.5, "space_group": "I4/mmm"}

---

6.
{"formula": "Sr2NbTl3S6", "functional": "PBE", "state": "optimized geometry", "cell": [[3.600, -6.194, 0.000], [3.600, 6.194, 0.000], [-2.327, 0.000, 7.239]], "species": ["Sr", "Sr", "Nb", "Tl", "Tl", "Tl", "S", "S", "S", "S", "S", "S"], "fractional_positions": [[0.166, 0.834, 0.000], [0.834, 0.166, 0.000], [0.500, 0.500, 0.000], [0.000, 0.000, 0.500], [0.334, 0.666, 0.500], [0.666, 0.334, 0.500], [0.150, 0.433, 0.800], [0.284, 0.284, 0.211], [0.433, 0.150, 0.800], [0.567, 0.850, 0.200], [0.716, 0.716, 0.789], [0.850, 0.567, 0.200]], "e_form_raw_ev_per_fu": -13.2, "space_group": "C2/m"}